Material: La2MnNi3As4
Method: DFT, PBE-GGA
State: relaxed

## Properties
The total magnetic moment is 0.37 μB per atom. As for the calculated total energy: -63.2 eV for the cell shown.

CIF file:
```
data_La2MnNi3As4
_cell_length_a 4.272
_cell_length_b 4.272
_cell_length_c 9.733
_cell_angle_alpha 90.00
_cell_angle_beta 90.00
_cell_angle_gamma 90.00
_space_group_name_H-M_alt 'P -4 m 2'
_space_group_IT_number 115
_space_group_name_Hall 'P -4 -2'
loop_
_atom_site_label
_atom_site_type_symbol
_atom_site_fract_x
_atom_site_fract_y
_atom_site_fract_z
La1 La 0.000 0.500 0.243
Mn1 Mn 0.000 0.000 0.500
Ni1 Ni 0.000 0.500 0.887
Ni2 Ni 0.500 0.500 0.500
As1 As 0.000 0.000 0.000
As2 As 0.000 0.500 0.636
As3 As 0.500 0.500 0.000
```